# CsSr2MgRh, optimized geometry, DFT PBE
data_CsSr2MgRh
_cell_length_a 5.956
_cell_length_b 5.956
_cell_length_c 5.500
_cell_angle_alpha 90.00
_cell_angle_beta 90.00
_cell_angle_gamma 90.00
_space_group_name_H-M_alt 'P 4/m m m'
_space_group_IT_number 123
_space_group_name_Hall '-P 4 2'
loop_
_atom_site_label
_atom_site_fract_x
_atom_site_fract_y
_atom_site_fract_z
_atom_site_occupancy
Cs1 0.000 0.000 0.000 1
Sr1 0.000 0.500 0.500 1
Mg1 0.500 0.500 0.000 1
Rh1 0.500 0.500 0.500 1
# **Energy**: -2.672 eV per atom
# **Calculated formation energy**: -0.19 eV/f.u.